Record 1
AcDyNiRh PBE optimized geometry; E = -5.884 eV per atom; energy relative to the elements = -0.423 eV/atom; SG = F-43m (216)
1.0
5.0354 0.0000 0.0000
2.5177 4.3608 0.0000
2.5177 1.4536 4.1114
Ac Dy Ni Rh
1 1 1 1
Direct
0.0000 0.0000 0.0000 Ac
0.5000 0.5000 0.5000 Dy
0.2500 0.2500 0.2500 Ni
0.7500 0.7500 0.7500 Rh

=====

Record 2
AcDyNiRu PBE optimized geometry; E = -6.095 eV per atom; energy relative to the elements = -0.154 eV/atom; SG = F-43m (216)
1.0
5.0063 0.0000 0.0000
2.5031 4.3356 0.0000
2.5031 1.4452 4.0876
Dy Ni Ac Ru
1 1 1 1
Direct
0.7500 0.7500 0.7500 Dy
0.5000 0.5000 0.5000 Ni
0.2500 0.2500 0.2500 Ac
0.0000 0.0000 0.0000 Ru

=====

Record 3
Ac2DyNiS5 PBE optimized geometry; E = -6.168 eV per atom; formation energy from raw total energies = -1809 meV/atom; SG = Cmc2_1 (36)
1.0
-2.9822 -2.5251 0.9382
4.2338 -4.1658 -6.3609
7.2336 -5.4322 8.3723
Dy Ni Ac S
2 2 4 10
Direct
0.1785 0.3569 0.0235 Dy
0.8215 0.6431 0.5235 Dy
0.4461 0.8921 0.4266 Ni
0.5539 0.1079 0.9266 Ni
0.1193 0.2386 0.3441 Ac
0.1203 0.2405 0.6968 Ac
0.8797 0.7595 0.1968 Ac
0.8807 0.7614 0.8441 Ac
0.3410 0.6819 0.0200 S
0.6876 0.3751 0.8691 S
0.3046 0.6092 0.6789 S
0.0205 0.0411 0.0061 S
0.5020 0.0040 0.2587 S
0.9795 0.9589 0.5061 S
0.4980 0.9960 0.7587 S
0.6954 0.3908 0.1789 S
0.3124 0.6249 0.3691 S
0.6590 0.3181 0.5200 S

=====

Record 4
Ac2DyNpO8 PBE optimized geometry; E = -8.565 eV per atom; formation energy from raw total energies = -3113 meV/atom; SG = P2/m (10)
1.0
4.0920 -0.2458 -0.0020
-0.2024 5.7651 -0.0062
0.0044 0.0087 7.7264
O Dy Np Ac
8 1 1 2
Direct
0.9551 0.2188 0.7829 O
0.5762 0.7957 0.0000 O
0.0449 0.7812 0.7828 O
0.0449 0.7812 0.2171 O
0.4238 0.2043 0.0000 O
0.4702 0.2404 0.5000 O
0.5298 0.7597 0.5000 O
0.9551 0.2188 0.2172 O
0.0000 0.0000 0.5000 Dy
0.0000 0.0000 0.0000 Np
0.5000 0.5000 0.2533 Ac
0.5000 0.5000 0.7467 Ac

=====

Record 5
Ac2DyO PBE optimized geometry; E = -5.386 eV per atom; formation energy from raw total energies = -942 meV/atom; SG = R-3m (166)
1.0
-3.6565 0.8775 -0.4879
-2.1141 -1.9782 -2.4485
-4.4451 -6.7817 6.3808
O Ac Dy
1 2 1
Direct
0.5000 0.5000 0.5000 O
0.1167 0.1167 0.6500 Ac
0.8833 0.8833 0.3500 Ac
0.0000 0.0000 0.0000 Dy

=====

Record 6
Ac3DyO PBE optimized geometry; E = -5.438 eV per atom; formation energy from raw total energies = -1061 meV/atom; SG = Pm-3m (221)
1.0
5.4038 0.0000 0.0000
0.0000 5.4038 0.0000
0.0000 0.0000 5.4038
Ac Dy O
3 1 1
Direct
0.0000 0.5000 0.0000 Ac
0.0000 0.0000 0.5000 Ac
0.5000 0.0000 0.0000 Ac
0.5000 0.5000 0.5000 Dy
0.0000 0.0000 0.0000 O

=====

Record 7
Ac2DyO4 PBE optimized geometry; E = -7.678 eV per atom; formation energy from raw total energies = -3013 meV/atom; SG = I4/mmm (139)
1.0
4.3891 0.0000 0.0000
0.0000 4.3891 0.0000
-2.1946 -2.1946 6.5941
Ac Dy O
2 1 4
Direct
0.6502 0.6502 0.3005 Ac
0.3498 0.3498 0.6995 Ac
0.0000 0.0000 0.0000 Dy
0.1748 0.1748 0.3497 O
0.0000 0.5000 0.0000 O
0.5000 0.0000 0.0000 O
0.8252 0.8252 0.6503 O

=====

Record 8
Ac3DyO6 PBE optimized geometry; E = -8.060 eV per atom; formation energy from raw total energies = -3392 meV/atom; SG = R-3 (148)
1.0
7.2794 -0.0598 -0.2165
-0.2213 7.2763 -0.2165
-0.0585 -0.0598 7.2824
O Dy Ac
12 2 6
Direct
0.0842 0.9384 0.6978 O
0.4637 0.5927 0.8017 O
0.5927 0.8017 0.4637 O
0.3022 0.9158 0.0616 O
0.9158 0.0616 0.3022 O
0.9384 0.6978 0.0842 O
0.5363 0.4073 0.1983 O
0.8017 0.4637 0.5927 O
0.6978 0.0842 0.9384 O
0.0616 0.3022 0.9158 O
0.1983 0.5363 0.4073 O
0.4073 0.1983 0.5363 O
0.0000 0.0000 0.0000 Dy
0.5000 0.5000 0.5000 Dy
0.9345 0.7467 0.4415 Ac
0.0655 0.2533 0.5585 Ac
0.2533 0.5585 0.0655 Ac
0.7467 0.4415 0.9345 Ac
0.4415 0.9345 0.7467 Ac
0.5585 0.0655 0.2533 Ac